[1]
Material: Co3NCl
Method: DFT, meta-GGA SCAN
State: PBEsol geometry

```
Co3NCl
1.0
4.029 0.000 0.000
0.000 4.029 0.000
0.000 0.000 4.029
Co N Cl
3 1 1
direct
0.000 0.000 0.500
0.000 0.500 0.000
0.500 0.000 0.000
0.500 0.500 0.500
0.000 0.000 0.000
```

Computed properties:
- formation energy (no corrections) (eV/atom) = 1.733
- mass density (g/cm3) = 5.74
- SG = No. 221



[2]
Material: CoNCl2
Method: DFT, meta-GGA SCAN
State: PBEsol geometry

```
CoNCl2
1.0
-3.319 3.319 4.404
3.319 -3.319 4.404
3.319 3.319 -4.404
Co N Cl
2 2 4
direct
0.000 0.000 0.000
0.750 0.250 0.500
0.250 0.750 0.500
0.500 0.500 0.000
0.020 0.625 0.895
0.375 0.270 0.395
0.730 0.125 0.105
0.875 0.980 0.605
```

Computed properties:
- formation energy (no corrections) (eV/atom) = 0.522
- mass density (g/cm3) = 2.46
- SG = No. 122



[3]
Material: CoSN2Cl
Method: DFT, meta-GGA SCAN
State: PBEsol geometry

```
CoSN2Cl
1.0
3.360 0.000 0.000
0.000 3.360 0.000
0.000 0.000 6.320
Co S N Cl
1 1 2 1
direct
0.000 0.000 0.000
0.500 0.500 0.000
0.000 0.500 0.500
0.500 0.000 0.500
0.500 0.500 0.500
```

Computed properties:
- formation energy (no corrections) (eV/atom) = 2.209
- mass density (g/cm3) = 3.60
- SG = No. 123



Which formula does entry 1 have? Co3NCl



Among the records above, which one has the lowest mass density? CoNCl2